The following is a DFT calculation (PBE) of a geometry-optimized MnTc2 structure.

Unit cell a=4.1704 b=4.1704 c=5.3399 alpha=90.00 beta=90.00 gamma=120.00
Space group P6_3/mmc (No. 194)
Asymmetric unit:
Mn (0.3333, 0.6667, 0.2500) [2 per cell]
Tc (0.0000, 0.0000, 0.0000) [2 per cell]
Tc (0.3333, 0.6667, 0.7500) [2 per cell]

The value obtained for the total magnetic moment is 0.00 μB per atom. Its polymorph energy (0 for the lowest one) is 68 meV per atom. The calculation puts the total energy at -9.899 eV/atom.